Entry 1:
Below is a geometry-optimized CeLuThSc structure, with properties calculated at the PBE level.

a b c (Å): 5.4911 5.4911 5.4911
angles (deg): 60.00 60.00 60.00
Last column: nearest neighbours and their distance in Å.
Fractional positions:
Lu 0.7500 0.7500 0.7500  4 Ce 3.36, 4 Sc 3.36
Sc 0.0000 0.0000 0.0000  4 Lu 3.36, 4 Th 3.36
Ce 0.5000 0.5000 0.5000  4 Th 3.36, 4 Lu 3.36
Th 0.2500 0.2500 0.2500  4 Ce 3.36, 4 Sc 3.36

Summary:
crystal system: cubic
E_form: 193 meV/atom
size of the total moment: 0.41 μB/atom

=====

Entry 2:
Below is a geometry-optimized DyHoPdAu structure, with properties calculated at the PBE level.

a b c (Å): 3.7345 4.6556 5.6366
angles (deg): 90.00 109.35 90.00
Last column: nearest neighbours and their distance in Å.
Fractional positions:
Au 0.5855 0.5000 0.1710  3 Ho 2.95-3.02, 2 Pd 2.97, 4 Dy 3.04
Pd 0.4125 0.0000 0.8249  3 Dy 2.91-3.05, 2 Au 2.97, 4 Ho 3.03
Dy 0.1392 0.0000 0.2784  3 Pd 2.91-3.05, 4 Au 3.04
Ho 0.8628 0.5000 0.7256  3 Au 2.95-3.02, 4 Pd 3.03

Summary:
crystal system: orthorhombic
polymorph energy (0 for the lowest one): 0 meV/atom
E_form: -914 meV/atom
size of the total moment: 0.00 μB/atom

=====

Entry 3:
Below is a geometry-optimized BaB2H structure, with properties calculated at the PBE level.

a b c (Å): 3.3713 3.3713 11.1599
angles (deg): 81.31 81.31 90.00
Last column: nearest neighbours and their distance in Å.
Fractional positions:
H 0.2500 0.7500 0.5000  4 Ba 2.38
H 0.5000 0.5000 0.0000  4 Ba 2.38
B 0.3750 0.1250 0.2500  2 B 1.69
B 0.3750 0.6250 0.7500  2 B 1.69
B 0.8750 0.6250 0.7500  2 B 1.69
B 0.3750 0.6250 0.2500  2 B 1.69
Ba 0.7500 0.2500 0.5000  4 H 2.38
Ba 0.0000 0.0000 0.0000  4 H 2.38

Summary:
crystal system: tetragonal
polymorph energy (0 for the lowest one): 0 meV/atom
size of the total moment: 0.00 μB/atom

=====

Entry 4:
Below is a geometry-optimized TlSiAu structure, with properties calculated at the PBE level.

a b c (Å): 4.4418 3.7834 8.1947
angles (deg): 90.00 105.35 90.01
Last column: nearest neighbours and their distance in Å.
Fractional positions:
Au 0.4918 0.0184 0.3814  2 Si 2.49-2.50
Au 0.7176 0.5183 0.8250  2 Si 2.49-2.50
Si 0.2676 0.7610 0.6039  2 Si 2.38, 2 Au 2.49-2.50
Si 0.9418 0.2610 0.6024  2 Si 2.38, 2 Au 2.49-2.50
Tl 0.2947 0.0222 0.9798  5 Au 3.15-3.18, 2 Si 3.20-3.21, 4 Tl 3.51
Tl 0.9144 0.5221 0.2266  5 Au 3.15-3.18, 2 Si 3.20-3.21, 4 Tl 3.51

Summary:
crystal system: monoclinic
energy: -21.6 eV per cell
size of the total moment: 0.00 μB/atom

=====

Entry 5:
Below is a geometry-optimized GaAs2Br8 structure, with properties calculated at the PBE level.

a b c (Å): 8.0482 8.0873 8.0873
angles (deg): 78.45 86.03 86.03
Last column: nearest neighbours and their distance in Å.
Fractional positions:
Br 0.1695 0.6643 0.0273  1 As 2.47
Br 0.1695 0.0273 0.6643  1 As 2.47
Br 0.2726 0.0913 0.0913  1 Ga 2.56
Br 0.8305 0.3357 0.9727  1 As 2.47
Br 0.4543 0.6546 0.6546  1 As 2.37
Br 0.7274 0.9087 0.9087  1 Ga 2.56
Br 0.8305 0.9727 0.3357  1 As 2.47
Br 0.5457 0.3454 0.3454  1 As 2.37
As 0.3725 0.8414 0.8414  3 Br 2.37-2.47
As 0.6275 0.1586 0.1586  3 Br 2.37-2.47
Ga 0.0000 0.0000 0.0000  2 Br 2.56

Summary:
crystal system: monoclinic
energy: -30.2 eV per cell
size of the total moment: 0.00 μB/atom

=====

Entry 6:
Below is a geometry-optimized Sc2Pd3 structure, with properties calculated at the PBE level.

a b c (Å): 4.6098 4.4932 5.4395
angles (deg): 112.07 90.00 120.86
Last column: nearest neighbours and their distance in Å.
Fractional positions:
Pd 0.7087 0.4175 0.6214  4 Sc 2.75-2.82, 4 Pd 2.86-3.04
Pd 0.5000 0.0000 0.0000  6 Sc 2.75-2.81, 2 Pd 3.04
Pd 0.2913 0.5825 0.3786  4 Sc 2.75-2.82, 4 Pd 2.86-3.04
Sc 0.8941 0.7883 0.1985  7 Pd 2.75-2.82, 1 Sc 2.96
Sc 0.1059 0.2117 0.8015  7 Pd 2.75-2.82, 1 Sc 2.96

Summary:
crystal system: monoclinic
E_form: -785 meV/atom
size of the total moment: 0.00 μB/atom

=====

Entry 7:
Below is a geometry-optimized AcPrHgPb structure, with properties calculated at the PBE level.

a b c (Å): 4.0327 4.0327 7.9309
angles (deg): 90.00 90.00 90.00
Last column: nearest neighbours and their distance in Å.
Fractional positions:
Pr 0.0000 0.0000 0.3647  4 Hg 3.36, 4 Pb 3.44
Hg 0.5000 0.5000 0.5892  4 Pr 3.36, 4 Ac 3.53, 1 Pb 3.70
Pb 0.5000 0.5000 0.1228  4 Pr 3.44, 4 Ac 3.57, 1 Hg 3.70
Ac 0.0000 0.0000 0.8513  4 Hg 3.53, 4 Pb 3.57, 1 Pr 3.86

Summary:
crystal system: tetragonal
polymorph energy (0 for the lowest one): 2 meV/atom
E_form: -477 meV/atom
size of the total moment: 0.00 μB/atom

=====

Entry 8:
Below is a geometry-optimized BaRuW2 structure, with properties calculated at the PBE level.

a b c (Å): 5.0085 5.0085 6.5595
angles (deg): 76.92 76.92 36.46
Last column: nearest neighbours and their distance in Å.
Fractional positions:
Ru 0.2789 0.2789 0.1378  4 W 2.55-2.59
W 0.7117 0.7117 0.8686  2 W 2.55, 2 Ru 2.55
W 0.9982 0.9982 0.0062  2 W 2.55, 2 Ru 2.59
Ba 0.5112 0.5112 0.4874  2 Ba 3.13, 2 Ru 3.38, 1 W 3.49

Summary:
crystal system: monoclinic
polymorph energy (0 for the lowest one): 131 meV/atom
E_form: 847 meV/atom
size of the total moment: 0.00 μB/atom

=====

Entry 9:
Below is a geometry-optimized NbTlGaSe2 structure, with properties calculated at the PBE level.

a b c (Å): 5.4924 4.9844 5.4924
angles (deg): 90.00 90.00 90.00
Last column: nearest neighbours and their distance in Å.
Fractional positions:
Tl 0.0000 0.0000 0.0000  2 Ga 2.49, 4 Se 2.75
Se 0.5000 0.0000 0.0000  2 Tl 2.75
Se 0.0000 0.0000 0.5000  2 Tl 2.75
Nb 0.5000 0.5000 0.5000  8 Se 3.71, 4 Ga 3.88
Ga 0.0000 0.5000 0.0000  2 Tl 2.49

Summary:
crystal system: tetragonal
energy: -17.1 eV per cell
size of the total moment: 0.69 μB/atom

=====

Entry 10:
Below is a geometry-optimized Li2TcAg structure, with properties calculated at the PBE level.

a b c (Å): 4.4669 4.4669 4.4669
angles (deg): 120.28 120.28 89.51
Last column: nearest neighbours and their distance in Å.
Fractional positions:
Li 0.2500 0.7500 0.5000  4 Tc 2.73, 4 Li 2.73
Li 0.0000 0.0000 0.0000  4 Li 2.73, 4 Ag 2.73
Tc 0.5000 0.5000 0.0000  4 Li 2.73, 4 Ag 2.73
Ag 0.7500 0.2500 0.5000  4 Tc 2.73, 4 Li 2.73

Summary:
crystal system: tetragonal
polymorph energy (0 for the lowest one): 362 meV/atom
E_form: 473 meV/atom
size of the total moment: 0.60 μB/atom

=====

Entry 11:
Below is a geometry-optimized Hf8Co2Os structure, with properties calculated at the PBE level.

a b c (Å): 4.5821 6.0791 8.1208
angles (deg): 100.02 106.39 90.00
Last column: nearest neighbours and their distance in Å.
Fractional positions:
Hf 0.9642 0.2446 0.9284  1 Co 2.62, 2 Os 2.84
Hf 0.0358 0.7554 0.0716  1 Co 2.62, 2 Os 2.84
Hf 0.5891 0.4469 0.1781  1 Os 2.82, 5 Hf 2.96-3.11
Hf 0.8046 0.6723 0.6093  1 Co 2.43
Hf 0.1954 0.3277 0.3907  1 Co 2.43
Hf 0.4109 0.5531 0.8219  1 Os 2.82, 5 Hf 2.96-3.11
Hf 0.3292 0.0357 0.6585  1 Co 2.46, 1 Os 2.71
Hf 0.6708 0.9643 0.3415  1 Co 2.46, 1 Os 2.71
Co 0.7980 0.2694 0.5960  3 Hf 2.43-2.62
Co 0.2020 0.7306 0.4040  3 Hf 2.43-2.62
Os 0.5000 0.0000 0.0000  8 Hf 2.71-2.84

Summary:
crystal system: monoclinic
E_form: -255 meV/atom
size of the total moment: 0.00 μB/atom

=====

Entry 12:
Below is a geometry-optimized Y6ZnCd3 structure, with properties calculated at the PBE level.

a b c (Å): 5.2811 9.1966 11.6504
angles (deg): 108.49 90.00 90.00
Last column: nearest neighbours and their distance in Å.
Fractional positions:
Y 0.7500 0.1488 0.6769  3 Zn 3.08-3.15, 3 Cd 3.24-3.41
Y 0.2500 0.6667 0.6716  1 Zn 3.02, 5 Cd 3.13-3.33
Y 0.2500 0.8512 0.3231  3 Zn 3.08-3.15, 3 Cd 3.24-3.41
Y 0.2500 0.4710 0.0908  7 Cd 3.12-3.48, 1 Y 3.47
Y 0.2500 0.1073 0.8676  1 Zn 2.97, 3 Cd 3.10-3.22
Y 0.2500 0.2359 0.4950  4 Cd 3.15-3.45, 3 Zn 3.18-3.19, 1 Y 3.47
Y 0.7500 0.8702 0.8417  3 Cd 3.31-3.32, 7 Y 3.33-3.66
Y 0.2500 0.1298 0.1583  3 Cd 3.31-3.32, 7 Y 3.33-3.66
Y 0.7500 0.7641 0.5050  4 Cd 3.15-3.45, 3 Zn 3.18-3.19, 1 Y 3.47
Y 0.7500 0.8927 0.1324  1 Zn 2.97, 3 Cd 3.10-3.22
Y 0.7500 0.5290 0.9092  7 Cd 3.12-3.48, 1 Y 3.47
Y 0.7500 0.3333 0.3284  1 Zn 3.02, 5 Cd 3.13-3.33
Cd 0.2500 0.3905 0.7777  7 Y 3.10-3.41, 2 Cd 3.41
Cd 0.2500 0.7721 0.9724  9 Y 3.22-3.46, 1 Cd 3.52
Cd 0.7500 0.6095 0.2223  7 Y 3.10-3.41, 2 Cd 3.41
Cd 0.2500 0.5263 0.3764  8 Y 3.13-3.45, 2 Cd 3.41
Cd 0.7500 0.4737 0.6236  8 Y 3.13-3.45, 2 Cd 3.41
Cd 0.7500 0.2279 0.0276  9 Y 3.22-3.46, 1 Cd 3.52
Zn 0.7500 0.0436 0.3986  8 Y 2.97-3.19
Zn 0.2500 0.9564 0.6014  8 Y 2.97-3.19

Summary:
crystal system: monoclinic
E_form: -244 meV/atom
size of the total moment: 0.00 μB/atom